1.
# InAs2W, relaxed, DFT PBE-GGA
data_InAs2W
_chemical_formula_sum 'In1 As2 W1'
_cell_length_a 5.4259
_cell_length_b 5.4259
_cell_length_c 5.4259
_cell_angle_alpha 136.54
_cell_angle_beta 136.54
_cell_angle_gamma 63.15
_space_group_name_H-M_alt 'P 1'
_space_group_IT_number 1
_space_group_name_Hall 'P 1'
loop_
_atom_site_label
_atom_site_fract_x
_atom_site_fract_y
_atom_site_fract_z
As1 0.0000 0.0000 0.0000
As2 0.2500 0.7500 0.5000
W1 0.7500 0.2500 0.5000
In1 0.5000 0.5000 0.0000
# ΔH_f (0 K) = 0.724 eV per atom
# Total DFT energy (no corrections) = -5.523 eV per atom
# Magnetic moment = 0.8 μB per cell

2.
# InAsW3, relaxed, DFT PBE-GGA
data_InAsW3
_chemical_formula_sum 'In1 As1 W3'
_cell_length_a 4.6396
_cell_length_b 4.6396
_cell_length_c 4.6396
_cell_angle_alpha 90.00
_cell_angle_beta 90.00
_cell_angle_gamma 90.00
_space_group_name_H-M_alt 'P 1'
_space_group_IT_number 1
_space_group_name_Hall 'P 1'
loop_
_atom_site_label
_atom_site_fract_x
_atom_site_fract_y
_atom_site_fract_z
As1 0.0000 0.0000 0.0000
W1 0.0000 0.5000 0.0000
W2 0.0000 0.0000 0.5000
W3 0.5000 0.0000 0.0000
In1 0.5000 0.5000 0.5000
# ΔH_f (0 K) = 1.439 eV per atom
# Total DFT energy (no corrections) = -7.810 eV per atom
# Magnetic moment = 0.0 μB per cell
# E above lowest polymorph = 0 meV/atom

3.
# In2AsW, relaxed, DFT PBE-GGA
data_In2AsW
_chemical_formula_sum 'In2 As1 W1'
_cell_length_a 3.1480
_cell_length_b 3.1480
_cell_length_c 8.6356
_cell_angle_alpha 90.00
_cell_angle_beta 90.00
_cell_angle_gamma 90.00
_space_group_name_H-M_alt 'P 1'
_space_group_IT_number 1
_space_group_name_Hall 'P 1'
loop_
_atom_site_label
_atom_site_fract_x
_atom_site_fract_y
_atom_site_fract_z
As1 0.5000 0.5000 0.6874
W1 0.0000 0.0000 0.5327
In1 0.0000 0.0000 0.9834
In2 0.5000 0.5000 0.2965
# ΔH_f (0 K) = 0.220 eV per atom
# Total DFT energy (no corrections) = -5.550 eV per atom
# Magnetic moment = 0.0 μB per cell

What did the third record say?
# In2AsW, relaxed, DFT PBE-GGA
data_In2AsW
_chemical_formula_sum 'In2 As1 W1'
_cell_length_a 3.1480
_cell_length_b 3.1480
_cell_length_c 8.6356
_cell_angle_alpha 90.00
_cell_angle_beta 90.00
_cell_angle_gamma 90.00
_space_group_name_H-M_alt 'P 1'
_space_group_IT_number 1
_space_group_name_Hall 'P 1'
loop_
_atom_site_label
_atom_site_fract_x
_atom_site_fract_y
_atom_site_fract_z
As1 0.5000 0.5000 0.6874
W1 0.0000 0.0000 0.5327
In1 0.0000 0.0000 0.9834
In2 0.5000 0.5000 0.2965
# ΔH_f (0 K) = 0.220 eV per atom
# Total DFT energy (no corrections) = -5.550 eV per atom
# Magnetic moment = 0.0 μB per cell

Question: The highest magnetic moment belongs to which entry?
Answer: InAs2W

Question: What is the magnetic moment in the first record?
Answer: 0.8 μB per cell